This record from Alexandria describes VNiSb after structural relaxation. The functional is PBE.

abc: 3.775 3.775 6.578
angles: 90.00 90.00 90.00
Space group P4/nmm (No. 129, origin choice 2)
One atom of each set of equivalent atoms:
1 V 0.250 0.750 0.000
2 Ni 0.250 0.250 0.276
3 Sb 0.250 0.250 0.678

final energy: -19.64 eV per formula unit
crystal system: tetragonal